Version w
A geometry-optimized PPtF3 structure. Source: Alexandria, functional PBE.

## Properties
For the magnetization, the calculation gives 0.00 μB/cell. For the density of states at the Fermi level, the calculation gives 4.4 states/eV/f.u. The crystal system is cubic.

a b c (Å): 4.102 4.102 4.102
angles (deg): 90.00 90.00 90.00
Space group Pm-3m (No. 221)
Inequivalent atoms, fractional coordinates:
1 P 0.000 0.000 0.000
2 Pt 0.500 0.500 0.500
3 F 0.000 0.000 0.500



Version x
A geometry-optimized PPtF3 structure. Source: Alexandria, functional PBE.

## Properties
For the magnetization, the calculation gives 2.35 μB/cell. For the density of states at the Fermi level, the calculation gives 5.4 states/eV/f.u. The crystal system is cubic.

a b c (Å): 4.293 4.293 4.293
angles (deg): 90.00 90.00 90.00
Space group Pm-3m (No. 221)
Inequivalent atoms, fractional coordinates:
1 P 0.000 0.000 0.000
2 Pt 0.500 0.500 0.500
3 F 0.000 0.500 0.500



Most stable: version w (next structure +0.178 eV/atom)